1.
# AcCr2PN2 | Alexandria | GGA-PBE | relaxed
# ΔE_f (raw) ... -762.7 meV/atom
# Mass density ... 6.6 Mg/m³
data_AcCr2PN2
_chemical_formula_sum 'Ac2 Cr4 P2 N4'
_cell_length_a 6.1743
_cell_length_b 4.8156
_cell_length_c 7.0396
_cell_angle_alpha 90.00
_cell_angle_beta 109.62
_cell_angle_gamma 90.00
_space_group_name_H-M_alt 'P 1 21/m 1'
_space_group_IT_number 11
_space_group_name_Hall '-P 2yb'
loop_
_atom_site_label
_atom_site_type_symbol
_atom_site_fract_x
_atom_site_fract_y
_atom_site_fract_z
Ac1 Ac 0.1791 0.2500 0.3367
Cr1 Cr 0.3729 0.0006 0.8143
P1 P 0.2864 0.7500 0.0630
N1 N 0.1436 0.2500 0.6947
N2 N 0.3859 0.7500 0.6236


2.
# Ac2PaCr2N6 | Alexandria | GGA-PBE | relaxed
# ΔE_f (raw) ... -968.8 meV/atom
# Mass density ... 8.3 Mg/m³
data_Ac2PaCr2N6
_chemical_formula_sum 'Ac6 Pa3 Cr6 N18'
_cell_length_a 5.7716
_cell_length_b 5.7716
_cell_length_c 18.1030
_cell_angle_alpha 90.00
_cell_angle_beta 90.00
_cell_angle_gamma 120.00
_space_group_name_H-M_alt 'R -3 m'
_space_group_IT_number 166
_space_group_name_Hall '-R 3 2"'
loop_
_atom_site_label
_atom_site_type_symbol
_atom_site_fract_x
_atom_site_fract_y
_atom_site_fract_z
Ac1 Ac 0.0000 0.0000 0.2141
Pa1 Pa 0.0000 0.0000 0.0000
Cr1 Cr 0.0000 0.0000 0.4024
N1 N 0.0049 0.5024 0.7560


3.
# Ac3PaCr2N6 | Alexandria | GGA-PBE | relaxed
# ΔE_f (raw) ... -996.8 meV/atom
# Mass density ... 8.5 Mg/m³
data_Ac3PaCr2N6
_chemical_formula_sum 'Ac3 Pa1 Cr2 N6'
_cell_length_a 5.9561
_cell_length_b 5.9561
_cell_length_c 7.0346
_cell_angle_alpha 90.00
_cell_angle_beta 90.00
_cell_angle_gamma 120.00
_space_group_name_H-M_alt 'P -3 m 1'
_space_group_IT_number 164
_space_group_name_Hall '-P 3 2"'
loop_
_atom_site_label
_atom_site_type_symbol
_atom_site_fract_x
_atom_site_fract_y
_atom_site_fract_z
Ac1 Ac 0.0000 0.0000 0.0000
Ac2 Ac 0.3333 0.6667 0.6817
Pa1 Pa 0.0000 0.0000 0.5000
Cr1 Cr 0.3333 0.6667 0.2040
N1 N 0.1725 0.3451 0.3013


4.
# AcPa2CrN4 | Alexandria | GGA-PBE | relaxed
# ΔE_f (raw) ... -1262.6 meV/atom
# Mass density ... 10.8 Mg/m³
data_AcPa2CrN4
_chemical_formula_sum 'Ac4 Pa8 Cr4 N16'
_cell_length_a 3.4917
_cell_length_b 11.9865
_cell_length_c 11.6636
_cell_angle_alpha 90.00
_cell_angle_beta 90.00
_cell_angle_gamma 90.00
_space_group_name_H-M_alt 'C m c m'
_space_group_IT_number 63
_space_group_name_Hall '-C 2c 2'
loop_
_atom_site_label
_atom_site_type_symbol
_atom_site_fract_x
_atom_site_fract_y
_atom_site_fract_z
Ac1 Ac 0.0000 0.0946 0.2500
Pa1 Pa 0.0000 0.3673 0.0542
Cr1 Cr 0.0000 0.1667 0.7500
N1 N 0.0000 0.0000 0.0000
N2 N 0.0000 0.2624 0.6147
N3 N 0.0000 0.4279 0.2500


5.
# Ac2Cr2PbN6 | Alexandria | GGA-PBE | relaxed
# ΔE_f (raw) ... -357.4 meV/atom
# Mass density ... 6.1 Mg/m³
data_Ac2Cr2PbN6
_chemical_formula_sum 'Ac2 Cr2 Pb1 N6'
_cell_length_a 6.5315
_cell_length_b 6.5381
_cell_length_c 6.9706
_cell_angle_alpha 115.75
_cell_angle_beta 101.43
_cell_angle_gamma 108.94
_space_group_name_H-M_alt 'P -1'
_space_group_IT_number 2
_space_group_name_Hall '-P 1'
loop_
_atom_site_label
_atom_site_type_symbol
_atom_site_fract_x
_atom_site_fract_y
_atom_site_fract_z
Ac1 Ac 0.2034 0.1030 0.3065
Cr1 Cr 0.1361 0.5672 0.7038
Pb1 Pb 0.5000 0.5000 0.0000
N1 N 0.0532 0.2922 0.7041
N2 N 0.0746 0.8000 0.8767
N3 N 0.4120 0.6523 0.7051


6.
# Ac2PmCrN4 | Alexandria | GGA-PBE | relaxed
# ΔE_f (raw) ... -836.0 meV/atom
# Mass density ... 7.6 Mg/m³
data_Ac2PmCrN4
_chemical_formula_sum 'Ac8 Pm4 Cr4 N16'
_cell_length_a 3.6714
_cell_length_b 13.3200
_cell_length_c 12.6643
_cell_angle_alpha 90.00
_cell_angle_beta 90.00
_cell_angle_gamma 90.00
_space_group_name_H-M_alt 'C m c m'
_space_group_IT_number 63
_space_group_name_Hall '-C 2c 2'
loop_
_atom_site_label
_atom_site_type_symbol
_atom_site_fract_x
_atom_site_fract_y
_atom_site_fract_z
Ac1 Ac 0.0000 0.1282 0.0392
Pm1 Pm 0.0000 0.3494 0.2500
Cr1 Cr 0.0000 0.3204 0.7500
N1 N 0.0000 0.1387 0.2500
N2 N 0.0000 0.2246 0.6380
N3 N 0.0000 0.5000 0.0000


7.
# Ac3PmCr2N6 | Alexandria | GGA-PBE | relaxed
# ΔE_f (raw) ... -903.8 meV/atom
# Mass density ... 7.6 Mg/m³
data_Ac3PmCr2N6
_chemical_formula_sum 'Ac3 Pm1 Cr2 N6'
_cell_length_a 5.9931
_cell_length_b 5.9931
_cell_length_c 7.1085
_cell_angle_alpha 90.00
_cell_angle_beta 90.00
_cell_angle_gamma 120.00
_space_group_name_H-M_alt 'P -3 m 1'
_space_group_IT_number 164
_space_group_name_Hall '-P 3 2"'
loop_
_atom_site_label
_atom_site_type_symbol
_atom_site_fract_x
_atom_site_fract_y
_atom_site_fract_z
Ac1 Ac 0.0000 0.0000 0.0000
Ac2 Ac 0.3333 0.6667 0.6996
Pm1 Pm 0.0000 0.0000 0.5000
Cr1 Cr 0.3333 0.6667 0.2088
N1 N 0.1737 0.3473 0.2798


8.
# AcPm2CrN4 | Alexandria | GGA-PBE | relaxed
# ΔE_f (raw) ... -1099.3 meV/atom
# Mass density ... 8.0 Mg/m³
data_AcPm2CrN4
_chemical_formula_sum 'Ac4 Pm8 Cr4 N16'
_cell_length_a 3.5462
_cell_length_b 12.0997
_cell_length_c 12.0332
_cell_angle_alpha 90.00
_cell_angle_beta 90.00
_cell_angle_gamma 90.00
_space_group_name_H-M_alt 'C m c m'
_space_group_IT_number 63
_space_group_name_Hall '-C 2c 2'
loop_
_atom_site_label
_atom_site_type_symbol
_atom_site_fract_x
_atom_site_fract_y
_atom_site_fract_z
Ac1 Ac 0.0000 0.0919 0.2500
Pm1 Pm 0.0000 0.3683 0.0438
Cr1 Cr 0.0000 0.1729 0.7500
N1 N 0.0000 0.0000 0.0000
N2 N 0.0000 0.2648 0.6304
N3 N 0.0000 0.4086 0.2500


9.
# Ac2PmCr2N6 | Alexandria | GGA-PBE | relaxed
# ΔE_f (raw) ... -861.6 meV/atom
# Mass density ... 7.3 Mg/m³
data_Ac2PmCr2N6
_chemical_formula_sum 'Ac6 Pm3 Cr6 N18'
_cell_length_a 5.7373
_cell_length_b 5.7373
_cell_length_c 18.9525
_cell_angle_alpha 90.00
_cell_angle_beta 90.00
_cell_angle_gamma 120.00
_space_group_name_H-M_alt 'R -3 m'
_space_group_IT_number 166
_space_group_name_Hall '-R 3 2"'
loop_
_atom_site_label
_atom_site_type_symbol
_atom_site_fract_x
_atom_site_fract_y
_atom_site_fract_z
Ac1 Ac 0.0000 0.0000 0.2095
Pm1 Pm 0.0000 0.0000 0.0000
Cr1 Cr 0.0000 0.0000 0.4032
N1 N 0.0054 0.5027 0.2381


10.
# AcPrCrN4 | Alexandria | GGA-PBE | relaxed
# ΔE_f (raw) ... -1065.5 meV/atom
# Mass density ... 7.1 Mg/m³
data_AcPrCrN4
_chemical_formula_sum 'Ac2 Pr2 Cr2 N8'
_cell_length_a 5.7554
_cell_length_b 5.6355
_cell_length_c 7.3000
_cell_angle_alpha 90.00
_cell_angle_beta 108.81
_cell_angle_gamma 90.00
_space_group_name_H-M_alt 'P 1 21/m 1'
_space_group_IT_number 11
_space_group_name_Hall '-P 2yb'
loop_
_atom_site_label
_atom_site_type_symbol
_atom_site_fract_x
_atom_site_fract_y
_atom_site_fract_z
Ac1 Ac 0.2123 0.2500 0.4313
Pr1 Pr 0.2896 0.2500 0.9659
Cr1 Cr 0.2703 0.7500 0.1972
N1 N 0.0699 0.7500 0.3354
N2 N 0.1067 0.7500 0.9520
N3 N 0.4669 0.5072 0.2558